# 1
Compound: HgPIO2
Source: Alexandria
Functional: GGA-PBE
Structure: optimized geometry

abc: 4.198 4.198 5.520
angles: 90.00 90.00 90.00
Each line ends with the local moment (μB).
Sites, in units of the cell vectors:
O: 0.500 0.000 0.000  0.40
O: 0.000 0.500 0.000  0.40
P: 0.000 0.000 0.500  0.06
Hg: 0.000 0.000 0.000  0.03
I: 0.500 0.500 0.500  0.07

Space-group type = No. 123
Crystal system = tetragonal
M_tot = 1.222 μB per cell
Total energy = -13.5 eV per cell

# 2
Compound: PaHgI2O8
Source: Alexandria
Functional: GGA-PBE
Structure: optimized geometry

abc: 6.591 6.591 6.952
angles: 90.00 90.00 120.00
Sites, in units of the cell vectors:
Pa: 0.000 0.000 0.000
O: 0.843 0.157 0.179
O: 0.157 0.843 0.821
O: 0.333 0.667 0.543
O: 0.685 0.843 0.821
O: 0.157 0.315 0.821
O: 0.843 0.685 0.179
O: 0.667 0.333 0.457
O: 0.315 0.157 0.179
I: 0.333 0.667 0.798
I: 0.667 0.333 0.202
Hg: 0.000 0.000 0.500

Space-group type = No. 164
Crystal system = trigonal
M_tot = 0.000 μB per cell
Total energy = -64.9 eV per cell

# 3
Compound: PaHg2IO6
Source: Alexandria
Functional: GGA-PBE
Structure: optimized geometry

abc: 6.821 5.934 7.524
angles: 66.81 43.68 62.29
Sites, in units of the cell vectors:
O: 0.797 0.908 0.861
O: 0.093 0.582 0.227
O: 0.486 0.988 0.697
O: 0.732 0.455 0.811
O: 0.102 0.056 0.306
O: 0.463 0.180 0.287
Hg: 0.545 0.508 0.417
Hg: 0.148 0.948 0.774
I: 0.397 0.271 0.071
Pa: 0.899 0.764 0.564

Space-group type = No. 1
Crystal system = triclinic
M_tot = 0.000 μB per cell
Total energy = -54.3 eV per cell

| no. | E_form (uncorrected) (eV per formula unit) |
| --- | --- |
| 1 | 3.71 |
| 2 | -12.32 |
| 3 | -12.87 |